Entry 1:
A plane-wave DFT calculation with PBE-GGA was carried out for a relaxed LaSmSc crystal.

a = 7.781 Å, b = 7.781 Å, c = 7.781 Å
α = 153.32°, β = 153.32°, γ = 38.09°
Fractional coordinates of all 3 atoms:
La  0.000  0.000  0.000
Sm  0.681  0.681  0.000
Sc  0.337  0.337  0.000

Values from the calculation:
- Distance to the lowest polymorph of the same formula: 0 meV per atom
- Symmetry: I4mm (107)


Entry 2:
A plane-wave DFT calculation with PBE-GGA was carried out for a relaxed LaSm5Sc crystal.

a = 5.309 Å, b = 5.309 Å, c = 8.653 Å
α = 90.00°, β = 90.00°, γ = 90.00°
Fractional coordinates of all 7 atoms:
La  0.000  0.000  0.000
Sm  0.000  0.500  0.289
Sm  0.000  0.500  0.711
Sm  0.500  0.000  0.289
Sm  0.500  0.000  0.711
Sm  0.500  0.500  0.000
Sc  0.000  0.000  0.500

Values from the calculation:
- Symmetry: P4/mmm (123)
- E_tot: -4.7374 eV/atom


Entry 3:
A plane-wave DFT calculation with PBE-GGA was carried out for a relaxed La2SmSc crystal.

a = 11.799 Å, b = 11.799 Å, c = 11.799 Å
α = 17.57°, β = 17.57°, γ = 17.57°
Fractional coordinates of all 4 atoms:
La  0.000  0.000  0.000
La  0.174  0.174  0.174
Sm  0.755  0.755  0.755
Sc  0.586  0.586  0.586

Values from the calculation:
- Distance to the lowest polymorph of the same formula: 25 meV per atom
- Symmetry: R3m (160)